# 1
A relaxed structure of Pr2Nd3Te6. Source: Alexandria via LeMat-Bulk, functional PBE.

Cell lengths 7.7874, 13.4260, 7.7719 Å; angles 90.00, 109.54, 90.00 degrees
Closest atoms and distances in Å follow each position.
Space group C2/m (No. 12)
One atom of each set of equivalent atoms:
Pr 0.0000 0.1646 0.0000 (multiplicity 4)  6 Te 3.17-3.20
Nd 0.0000 0.0000 0.5000 (multiplicity 2)  6 Te 3.16-3.26
Nd 0.0000 0.3313 0.5000 (multiplicity 4)  6 Te 3.16-3.23
Te 0.2402 0.5000 0.7535 (multiplicity 4)  3 Nd 3.17-3.26, 2 Pr 3.17
Te 0.2429 0.3383 0.2453 (multiplicity 8)  3 Nd 3.16-3.23, 2 Pr 3.19-3.20

## Properties
* uncorrected energy: -0.1970 Ha/atom
* ρ: 6419 kg/m3
* formation energy from raw total energies: -1.4785 eV per atom

=====

# 2
A relaxed structure of PrNd5Te4. Source: Alexandria via LeMat-Bulk, functional PBE.

Cell lengths 18.9131, 4.3834, 8.7395 Å; angles 90.00, 102.82, 90.00 degrees
Closest atoms and distances in Å follow each position.
Space group C2/m (No. 12)
One atom of each set of equivalent atoms:
Pr 0.0000 0.0000 0.0000 (multiplicity 2)  6 Te 3.12
Nd 0.0000 0.0000 0.5000 (multiplicity 2)  4 Te 3.08
Nd 0.1625 0.5000 0.8117 (multiplicity 4)  4 Te 3.11-3.20
Nd 0.1846 0.5000 0.3526 (multiplicity 4)  3 Te 3.20-3.21
Te 0.0111 0.5000 0.2584 (multiplicity 4)  4 Nd 3.08-3.20, 2 Pr 3.12
Te 0.1692 0.0000 0.0787 (multiplicity 4)  5 Nd 3.11-3.21, 1 Pr 3.12

## Properties
* uncorrected energy: -0.1884 Ha/atom
* ρ: 6452 kg/m3
* formation energy from raw total energies: -1.0077 eV per atom